Below is crystalline Ba3CeHf2O9 at its relaxed geometry, with properties calculated at the PBE level.

The structure in POSCAR format:
```
Ba3CeHf2O9
1.0
-0.463 4.835 3.634
-2.473 -5.286 1.655
6.363 -1.923 3.368
O Ba Ce Hf
9 3 1 2
direct
0.500 0.000 0.000
0.173 0.827 0.323
0.655 0.827 0.323
0.345 0.173 0.677
0.500 0.500 0.000
0.000 0.500 0.000
0.173 0.345 0.323
0.827 0.173 0.677
0.827 0.655 0.677
0.333 0.667 0.670
0.667 0.333 0.330
0.000 0.000 0.000
0.000 0.000 0.500
0.667 0.333 0.841
0.333 0.667 0.159
```

raw total energy = -8.366 eV per atom
ρ = 7.36 g/cm3